VASP calculation (PBE) on a geometry-optimized Nd2ZnGa structure.

- D(E_F) (states/eV per atom) = 1.09

Cell lengths 5.2262, 5.2262, 5.2262 Å; angles 60.00, 60.00, 60.00 degrees
Closest atoms and distances in Å follow each position.
Fractional coordinates of all 4 atoms:
1 Nd 0.2500 0.2500 0.2500  4 Zn 3.20, 4 Ga 3.20
2 Nd 0.7500 0.7500 0.7500  4 Zn 3.20, 4 Ga 3.20
3 Ga 0.5000 0.5000 0.5000  8 Nd 3.20
4 Zn 0.0000 0.0000 0.0000  8 Nd 3.20



VASP calculation (PBE) on a geometry-optimized Nd8Zn2Ga structure.

- D(E_F) (states/eV per atom) = 1.06

Cell lengths 5.2081, 7.2771, 9.5452 Å; angles 109.18, 105.83, 90.00 degrees
Closest atoms and distances in Å follow each position.
Fractional coordinates of all 11 atoms:
1 Nd 0.8029 0.6869 0.6057  1 Zn 2.98
2 Nd 0.1971 0.3131 0.3943  1 Zn 2.98
3 Nd 0.3303 0.0219 0.6607  3 Zn 2.97-3.32, 1 Ga 3.17
4 Nd 0.0236 0.7752 0.0471  1 Zn 3.04, 2 Ga 3.18
5 Nd 0.6697 0.9781 0.3393  3 Zn 2.97-3.32, 1 Ga 3.17
6 Nd 0.9764 0.2248 0.9529  1 Zn 3.04, 2 Ga 3.18
7 Nd 0.5909 0.4614 0.1817  1 Ga 3.20, 2 Zn 3.24, 4 Nd 3.42-3.57
8 Nd 0.4091 0.5386 0.8183  1 Ga 3.20, 2 Zn 3.24, 4 Nd 3.42-3.57
9 Zn 0.1773 0.7033 0.3546  7 Nd 2.97-3.32
10 Zn 0.8227 0.2967 0.6454  7 Nd 2.97-3.32
11 Ga 0.5000 0.0000 0.0000  8 Nd 3.17-3.20



| no. | volume (Å³ per atom) | polymorph energy (0 for the lowest one) (eV/atom) | size of the total moment (μB/f.u.) |
| --- | --- | --- | --- |
| 1 | 25.2 | 0.0000 | 0.00 |
| 2 | 29.7 | 0.0000 | 0.00 |